No. 1
{"formula": "IrSe2Br", "functional": "PBE-GGA", "state": "optimized geometry", "lattice_angstrom": [[-2.327, 2.327, 3.465], [2.327, -2.327, 3.465], [2.327, 2.327, -3.465]], "species": ["Ir", "Se", "Se", "Br"], "fractional_positions": [[0.000, 0.000, 0.000], [0.250, 0.750, 0.500], [0.500, 0.500, 0.000], [0.750, 0.250, 0.500]], "spacegroup": "No. 119", "vol_a3_per_cell": 75.02, "e_above_lowest_polymorph_ev_per_fu": 4.82}


No. 2
{"formula": "KAcAgHg", "functional": "PBE-GGA", "state": "optimized geometry", "lattice_angstrom": [[0.000, 3.992, 3.992], [3.992, 0.000, 3.992], [3.992, 3.992, 0.000]], "species": ["K", "Ac", "Ag", "Hg"], "fractional_positions": [[0.000, 0.000, 0.000], [0.500, 0.500, 0.500], [0.250, 0.250, 0.250], [0.750, 0.750, 0.750]], "spacegroup": "No. 216", "ef_ev_per_atom": -0.124, "vol_a3_per_cell": 127.22}


No. 3
{"formula": "Cr3AgSe", "functional": "PBE-GGA", "state": "optimized geometry", "lattice_angstrom": [[4.999, 0.000, 0.000], [0.000, 4.999, 0.000], [0.000, 0.000, 4.999]], "species": ["Cr", "Cr", "Cr", "Ag", "Se"], "fractional_positions": [[0.000, 0.000, 0.500], [0.000, 0.500, 0.000], [0.500, 0.000, 0.000], [0.000, 0.000, 0.000], [0.500, 0.500, 0.500]], "spacegroup": "No. 221", "vol_a3_per_cell": 124.95, "e_above_lowest_polymorph_ev_per_fu": 2.70}


No. 4
{"formula": "ThMgH6Ir2", "functional": "PBE-GGA", "state": "optimized geometry", "lattice_angstrom": [[2.292, 1.323, 5.282], [-2.292, 1.323, 5.282], [0.000, -2.646, 5.282]], "species": ["Th", "Mg", "H", "H", "H", "H", "H", "H", "Ir", "Ir"], "fractional_positions": [[0.000, 0.000, 0.000], [0.500, 0.500, 0.500], [0.077, 0.554, 0.554], [0.446, 0.446, 0.923], [0.446, 0.923, 0.446], [0.554, 0.077, 0.554], [0.554, 0.554, 0.077], [0.923, 0.446, 0.446], [0.213, 0.213, 0.213], [0.787, 0.787, 0.787]], "spacegroup": "No. 166", "energy_ev_per_atom": -5.160, "vol_a3_per_cell": 96.11}


No. 5
{"formula": "Cd4InCl8", "functional": "PBE-GGA", "state": "optimized geometry", "lattice_angstrom": [[0.000, 5.903, 5.903], [5.903, 0.000, 5.903], [5.903, 5.903, 0.000]], "species": ["Cd", "Cd", "Cd", "Cd", "In", "Cl", "Cl", "Cl", "Cl", "Cl", "Cl", "Cl", "Cl"], "fractional_positions": [[0.380, 0.380, 0.380], [0.380, 0.380, 0.861], [0.380, 0.861, 0.380], [0.861, 0.380, 0.380], [0.000, 0.000, 0.000], [0.146, 0.146, 0.146], [0.146, 0.146, 0.561], [0.146, 0.561, 0.146], [0.169, 0.610, 0.610], [0.561, 0.146, 0.146], [0.610, 0.169, 0.610], [0.610, 0.610, 0.169], [0.610, 0.610, 0.610]], "spacegroup": "No. 216", "energy_ev_per_atom": -2.514, "vol_a3_per_cell": 411.39}


No. 6
{"formula": "CdP2Ir", "functional": "PBE-GGA", "state": "optimized geometry", "lattice_angstrom": [[4.022, -1.624, 0.000], [4.022, 1.624, 0.000], [-1.508, 0.000, 5.867]], "species": ["Cd", "P", "P", "Ir"], "fractional_positions": [[0.000, 0.000, 0.000], [0.667, 0.667, 0.590], [0.778, 0.778, 0.294], [0.381, 0.381, 0.604]], "spacegroup": "No. 8", "ef_ev_per_atom": -0.063, "vol_a3_per_cell": 76.61}


No. 7
{"formula": "Er4MgGa", "functional": "PBE-GGA", "state": "optimized geometry", "lattice_angstrom": [[4.901, 0.000, 0.000], [0.000, 4.901, 0.000], [0.000, 0.000, 7.563]], "species": ["Er", "Er", "Er", "Er", "Mg", "Ga"], "fractional_positions": [[0.000, 0.500, 0.229], [0.000, 0.500, 0.771], [0.500, 0.000, 0.229], [0.500, 0.000, 0.771], [0.000, 0.000, 0.500], [0.500, 0.500, 0.000]], "spacegroup": "No. 123", "ef_ev_per_atom": 0.101, "vol_a3_per_cell": 181.63}


No. 8
{"formula": "PrSn2Ru", "functional": "PBE-GGA", "state": "optimized geometry", "lattice_angstrom": [[-2.305, 4.938, 8.564], [2.305, -4.938, 8.564], [2.305, 4.938, -8.564]], "species": ["Pr", "Pr", "Pr", "Pr", "Sn", "Sn", "Sn", "Sn", "Sn", "Sn", "Sn", "Sn", "Ru", "Ru", "Ru", "Ru"], "fractional_positions": [[0.210, 0.210, 0.000], [0.240, 0.000, 0.240], [0.760, 0.000, 0.760], [0.790, 0.790, 0.000], [0.082, 0.582, 0.500], [0.136, 0.801, 0.335], [0.415, 0.415, 0.000], [0.466, 0.801, 0.665], [0.534, 0.199, 0.335], [0.585, 0.585, 0.000], [0.864, 0.199, 0.665], [0.918, 0.418, 0.500], [0.107, 0.358, 0.749], [0.391, 0.642, 0.749], [0.609, 0.358, 0.251], [0.893, 0.642, 0.251]], "spacegroup": "No. 71", "ef_ev_per_atom": -0.489, "vol_a3_per_cell": 389.93}